Compound: PmBiB
Source: OQMD
Functional: PBE
Structure: optimized geometry

POSCAR file:
```
PmBiB
1.0
0.000 3.492 3.492
3.492 0.000 3.492
3.492 3.492 0.000
Pm Bi B
1 1 1
Cartesian
0.000 0.000 0.000
1.746 1.746 1.746
5.237 5.237 5.237
```

The magnetic moment comes out at 0.01 μB per formula unit. The energy above the lowest structure with this stoichiometry comes out at 540.2 meV per atom. Its energy is -4.32 eV per atom.